Record 1
Here is a relaxed YTaAsSe2 crystal from Alexandria via LeMat-Bulk. Energies are from PBE-GGA.

abc: 5.284 5.284 5.334
angles: 90.00 90.00 90.00
Space group P4/mmm (No. 123)
Symmetry-distinct sites (fractional):
Y1 0.000 0.000 0.000 (multiplicity 1)
Ta1 0.500 0.500 0.500 (multiplicity 1)
As1 0.000 0.000 0.500 (multiplicity 1)
Se1 0.000 0.500 0.000 (multiplicity 2)

M_tot = 2.06 μB per cell
ΔE_f (raw) = 0.70 eV per atom

Record 2
Here is a relaxed CdAgBr3 crystal from Alexandria via LeMat-Bulk. Energies are from PBE-GGA.

abc: 13.946 12.925 7.273
angles: 90.00 103.56 90.00
Space group C2/c (No. 15)
Symmetry-distinct sites (fractional):
Cd1 0.194 0.091 0.288 (multiplicity 8)
Ag1 0.000 0.244 0.750 (multiplicity 4)
Ag2 0.000 0.403 0.250 (multiplicity 4)
Br1 0.112 0.418 0.623 (multiplicity 8)
Br2 0.123 0.258 0.103 (multiplicity 8)
Br3 0.127 0.084 0.606 (multiplicity 8)

M_tot = 0.00 μB per cell
ΔE_f (raw) = -0.61 eV per atom

Record 3
Here is a relaxed Mg2Sn2Ir crystal from Alexandria via LeMat-Bulk. Energies are from PBE-GGA.

abc: 6.097 4.448 8.611
angles: 90.00 99.92 90.00
Space group P2_1/m (No. 11)
Symmetry-distinct sites (fractional):
Mg1 0.024 0.250 0.119 (multiplicity 2)
Mg2 0.387 0.250 0.590 (multiplicity 2)
Sn1 0.106 0.750 0.388 (multiplicity 2)
Sn2 0.476 0.750 0.864 (multiplicity 2)
Ir1 0.224 0.250 0.858 (multiplicity 2)

M_tot = 0.00 μB per cell
calculated formation energy = -0.24 eV/atom

Record 4
Here is a relaxed Tb2PrNd3Y6 crystal from Alexandria via LeMat-Bulk. Energies are from PBE-GGA.

abc: 6.260 10.840 11.895
angles: 90.00 100.06 90.00
Space group C2/m (No. 12)
Symmetry-distinct sites (fractional):
Tb1 0.000 0.167 0.000 (multiplicity 4)
Pr1 0.000 0.500 0.000 (multiplicity 2)
Nd1 0.000 0.000 0.500 (multiplicity 2)
Nd2 0.000 0.333 0.500 (multiplicity 4)
Y1 0.249 0.000 0.249 (multiplicity 4)
Y2 0.250 0.167 0.751 (multiplicity 8)

M_tot = 0.00 μB per cell
calculated formation energy = 0.01 eV/atom

Record 5
Here is a relaxed Li2ScCd crystal from Alexandria via LeMat-Bulk. Energies are from PBE-GGA.

abc: 4.157 4.723 8.035
angles: 90.00 90.00 90.00
Space group Imm2 (No. 44)
Symmetry-distinct sites (fractional):
Li1 0.000 0.000 0.000 (multiplicity 2)
Li2 0.000 0.500 0.273 (multiplicity 2)
Sc1 0.000 0.500 0.763 (multiplicity 2)
Cd1 0.000 0.000 0.528 (multiplicity 2)

M_tot = 0.00 μB per cell
calculated formation energy = -0.06 eV/atom

Record 6
Here is a relaxed Na2SrBr crystal from Alexandria via LeMat-Bulk. Energies are from PBE-GGA.

abc: 3.846 3.846 9.940
angles: 90.00 90.00 90.00
Space group P4/mmm (No. 123)
Symmetry-distinct sites (fractional):
Na1 0.000 0.000 0.176 (multiplicity 2)
Sr1 0.500 0.500 0.500 (multiplicity 1)
Br1 0.500 0.500 0.000 (multiplicity 1)

M_tot = 0.00 μB per cell
ΔE_f (raw) = -0.61 eV per atom

Record 7
Here is a relaxed K2FePt crystal from Alexandria via LeMat-Bulk. Energies are from PBE-GGA.

abc: 7.694 7.694 7.694
angles: 90.00 90.00 90.00
Space group Fm-3m (No. 225)
Symmetry-distinct sites (fractional):
K1 0.250 0.250 0.250 (multiplicity 8)
Fe1 0.000 0.000 0.000 (multiplicity 4)
Pt1 0.000 0.000 0.500 (multiplicity 4)

M_tot = 15.51 μB per cell
calculated formation energy = 0.93 eV/atom

Record 8
Here is a relaxed Zr2Ti2Ga crystal from Alexandria via LeMat-Bulk. Energies are from PBE-GGA.

abc: 7.281 7.281 3.790
angles: 90.00 90.00 90.00
Space group P4/mbm (No. 127)
Symmetry-distinct sites (fractional):
Zr1 0.143 0.357 0.000 (multiplicity 4)
Ti1 0.159 0.659 0.500 (multiplicity 4)
Ga1 0.000 0.000 0.000 (multiplicity 2)

M_tot = 0.00 μB per cell
calculated formation energy = 0.07 eV/atom

Record 9
Here is a relaxed CaMg2Tl crystal from Alexandria via LeMat-Bulk. Energies are from PBE-GGA.

abc: 3.745 3.745 7.619
angles: 90.00 90.00 90.00
Space group P4mm (No. 99)
Symmetry-distinct sites (fractional):
Ca1 0.000 0.000 0.000 (multiplicity 1)
Mg1 0.000 0.000 0.507 (multiplicity 1)
Mg2 0.500 0.500 0.292 (multiplicity 1)
Tl1 0.500 0.500 0.728 (multiplicity 1)

M_tot = 0.00 μB per cell
calculated formation energy = -0.16 eV/atom

Record 10
Here is a relaxed Eu2IF crystal from Alexandria via LeMat-Bulk. Energies are from PBE-GGA.

abc: 4.0960 4.0960 23.6746
angles: 90.00 90.00 120.00
Space group R-3m (No. 166, hexagonal axes)
Symmetry-distinct sites (fractional):
Eu1 0.0000 0.0000 0.2269 (multiplicity 6)
I1 0.0000 0.0000 0.0000 (multiplicity 3)
F1 0.0000 0.0000 0.5000 (multiplicity 3)

M_tot = 47.26 μB per cell
ΔE_f (raw) = -1.75 eV per atom

Record 11
Here is a relaxed SrSiRu crystal from Alexandria via LeMat-Bulk. Energies are from PBE-GGA.

abc: 3.234 3.234 11.357
angles: 90.00 90.00 90.00
Space group I4mm (No. 107)
Symmetry-distinct sites (fractional):
Sr1 0.000 0.000 0.000 (multiplicity 2)
Si1 0.000 0.000 0.289 (multiplicity 2)
Ru1 0.000 0.000 0.707 (multiplicity 2)

M_tot = 0.00 μB per cell
ΔE_f (raw) = -0.27 eV per atom

Record 12
Here is a relaxed TlZnIN2 crystal from Alexandria via LeMat-Bulk. Energies are from PBE-GGA.

abc: 4.481 4.481 5.905
angles: 90.00 90.00 90.00
Space group P4/mmm (No. 123)
Symmetry-distinct sites (fractional):
Tl1 0.000 0.000 0.000 (multiplicity 1)
Zn1 0.500 0.500 0.500 (multiplicity 1)
I1 0.500 0.500 0.000 (multiplicity 1)
N1 0.000 0.500 0.500 (multiplicity 2)

M_tot = 3.98 μB per cell
ΔE_f (raw) = 1.32 eV per atom